(i)
Entry from Alexandria: LaCuAg2Pt after structural relaxation (PBEsol).

Structure (extended XYZ):
```
5
Lattice="4.601 0.000 0.000 0.000 4.601 0.000 0.000 0.000 5.309" Properties=species:S:1:pos:R:3 pbc="T T T"
La 0.000 0.000 0.000
Cu 0.000 0.000 2.654
Ag 0.000 2.301 2.654
Ag 2.301 0.000 2.654
Pt 2.301 2.301 0.000
```



(ii)
Entry from Alexandria: LaCuAg2Pt after structural relaxation (PBEsol).

Structure (extended XYZ):
```
5
Lattice="5.003 0.000 0.000 0.000 5.003 0.000 0.000 0.000 4.662" Properties=species:S:1:pos:R:3 pbc="T T T"
La 0.000 0.000 0.000
Cu 2.502 2.502 0.000
Ag 0.000 2.502 2.331
Ag 2.502 0.000 2.331
Pt 2.502 2.502 2.331
```



The data favor (ii); the next most stable structure lies 0.153 eV/atom above it.



(i)
Entry from Alexandria: MgCuAg after structural relaxation (PBEsol).

Structure (extended XYZ):
```
6
Lattice="3.195 0.000 0.000 0.000 3.195 0.000 0.000 0.000 9.042" Properties=species:S:1:pos:R:3 pbc="T T T"
Mg 0.000 0.000 0.000
Mg 1.597 1.597 4.521
Cu 0.000 0.000 5.986
Cu 1.597 1.597 1.465
Ag 0.000 0.000 2.880
Ag 1.597 1.597 7.401
```



(ii)
Entry from Alexandria: MgCuAg after structural relaxation (PBEsol).

Structure (extended XYZ):
```
3
Lattice="2.895 0.000 0.000 -1.447 2.507 0.000 0.000 0.000 6.497" Properties=species:S:1:pos:R:3 pbc="T T T"
Mg 0.000 0.000 0.000
Cu 1.447 0.836 2.083
Ag 0.000 1.671 4.181
```



The data favor (i); the next most stable structure lies 0.135 eV/atom above it.



(i)
Entry from Alexandria: CuAg2Mo after structural relaxation (PBEsol).

Structure (extended XYZ):
```
8
Lattice="2.662 0.000 0.000 0.000 4.721 0.000 0.000 0.000 9.602" Properties=species:S:1:pos:R:3 pbc="T T T"
Cu 0.000 0.000 0.000
Cu 1.331 2.360 4.801
Ag 0.000 2.360 2.561
Ag 0.000 2.360 7.041
Ag 1.331 0.000 2.240
Ag 1.331 0.000 7.362
Mo 0.000 0.000 4.801
Mo 1.331 2.360 0.000
```



(ii)
Entry from Alexandria: CuAg2Mo after structural relaxation (PBEsol).

Structure (extended XYZ):
```
8
Lattice="4.403 0.000 0.000 0.000 4.403 0.000 0.000 0.000 6.199" Properties=species:S:1:pos:R:3 pbc="T T T"
Cu 0.000 0.000 0.000
Cu 2.201 2.201 3.099
Ag 0.000 0.000 3.099
Ag 0.000 2.201 1.550
Ag 2.201 0.000 4.649
Ag 2.201 2.201 0.000
Mo 0.000 2.201 4.649
Mo 2.201 0.000 1.550
```



The data favor (i); the next most stable structure lies 0.114 eV/atom above it.



(i)
Entry from Alexandria: CuAg2Mo after structural relaxation (PBEsol).

Structure (extended XYZ):
```
4
Lattice="2.628 0.000 0.000 0.000 4.138 0.000 -1.322 0.000 5.561" Properties=species:S:1:pos:R:3 pbc="T T T"
Cu 0.000 0.000 0.000
Ag -0.009 0.000 2.611
Ag 1.301 2.069 3.991
Mo 1.312 2.069 1.044
```



(ii)
Entry from Alexandria: CuAg2Mo after structural relaxation (PBEsol).

Structure (extended XYZ):
```
12
Lattice="2.744 0.000 0.000 -1.372 2.376 0.000 0.000 0.000 27.573" Properties=species:S:1:pos:R:3 pbc="T T T"
Cu 0.000 0.000 0.000
Cu 0.000 1.584 18.382
Cu 1.372 0.792 9.191
Ag 0.000 0.000 7.014
Ag 0.000 0.000 20.559
Ag 0.000 1.584 11.368
Ag 0.000 1.584 25.397
Ag 1.372 0.792 2.177
Ag 1.372 0.792 16.205
Mo 0.000 0.000 13.787
Mo 0.000 1.584 4.596
Mo 1.372 0.792 22.978
```



The data favor (ii); the next most stable structure lies 0.057 eV/atom above it.



(i)
Entry from Alexandria: Cu2AgOs after structural relaxation (PBEsol).

Structure (extended XYZ):
```
4
Lattice="2.633 0.000 0.000 0.000 2.633 0.000 0.000 0.000 7.718" Properties=species:S:1:pos:R:3 pbc="T T T"
Cu 0.000 0.000 1.855
Cu 0.000 0.000 5.863
Ag 1.316 1.316 3.859
Os 1.316 1.316 0.000
```



(ii)
Entry from Alexandria: Cu2AgOs after structural relaxation (PBEsol).

Structure (extended XYZ):
```
8
Lattice="2.582 0.000 0.000 0.000 4.521 0.000 0.000 0.000 9.163" Properties=species:S:1:pos:R:3 pbc="T T T"
Cu 0.000 0.000 0.000
Cu 0.000 2.260 2.489
Cu 1.291 0.000 7.071
Cu 1.291 2.260 4.582
Ag 0.000 2.260 6.902
Ag 1.291 0.000 2.321
Os 0.000 0.000 4.831
Os 1.291 2.260 0.249
```



The data favor (i); the next most stable structure lies 0.108 eV/atom above it.



(i)
Entry from Alexandria: CuAgP2 after structural relaxation (PBEsol).

Structure (extended XYZ):
```
4
Lattice="2.610 0.000 0.000 0.000 3.158 0.000 -1.265 0.000 7.271" Properties=species:S:1:pos:R:3 pbc="T T T"
Cu 0.000 0.000 0.000
Ag 0.041 1.579 5.516
P 0.003 1.579 1.767
P 0.004 0.000 3.397
```



(ii)
Entry from Alexandria: CuAgP2 after structural relaxation (PBEsol).

Structure (extended XYZ):
```
4
Lattice="2.602 0.000 0.000 0.000 2.602 0.000 0.000 0.000 8.895" Properties=species:S:1:pos:R:3 pbc="T T T"
Cu 0.000 0.000 0.000
Ag 1.301 1.301 6.815
P 0.000 0.000 4.640
P 1.301 1.301 1.674
```



The data favor (i); the next most stable structure lies 0.101 eV/atom above it.



(i)
Entry from Alexandria: Cu2AgPt after structural relaxation (PBEsol).

Structure (extended XYZ):
```
8
Lattice="2.844 0.000 0.000 0.000 4.332 0.000 0.000 0.000 8.777" Properties=species:S:1:pos:R:3 pbc="T T T"
Cu 0.000 0.000 0.000
Cu 0.000 2.166 2.394
Cu 1.422 0.000 6.783
Cu 1.422 2.166 4.388
Ag 0.000 0.000 4.571
Ag 1.422 2.166 0.182
Pt 0.000 2.166 6.565
Pt 1.422 0.000 2.176
```



(ii)
Entry from Alexandria: Cu2AgPt after structural relaxation (PBEsol).

Structure (extended XYZ):
```
8
Lattice="9.269 0.000 0.000 0.000 2.788 0.000 -1.425 0.000 4.183" Properties=species:S:1:pos:R:3 pbc="T T T"
Cu 0.000 0.000 0.000
Cu 1.663 1.394 1.262
Cu 4.634 1.394 0.000
Cu 6.297 0.000 1.262
Ag 1.127 0.000 3.409
Ag 5.762 1.394 3.409
Pt 3.724 0.000 2.008
Pt 8.358 1.394 2.008
```



(iii)
Entry from Alexandria: Cu2AgPt after structural relaxation (PBEsol).

Structure (extended XYZ):
```
4
Lattice="2.737 0.000 0.000 0.000 3.686 0.000 0.000 0.000 5.412" Properties=species:S:1:pos:R:3 pbc="T T T"
Cu 0.000 0.000 0.000
Cu 1.369 1.843 1.287
Ag 1.369 1.843 4.091
Pt 0.000 0.000 2.543
```



The data favor (ii); the next most stable structure lies 0.019 eV/atom above it.



(i)
Entry from Alexandria: Cu2AgPt after structural relaxation (PBEsol).

Structure (extended XYZ):
```
8
Lattice="5.588 0.000 0.000 0.000 6.931 0.000 0.000 0.000 2.789" Properties=species:S:1:pos:R:3 pbc="T T T"
Cu 1.397 1.733 0.000
Cu 1.397 5.198 0.000
Cu 4.191 1.733 0.000
Cu 4.191 5.198 0.000
Ag 0.000 0.000 1.394
Ag 2.794 3.465 1.394
Pt 0.000 3.465 1.394
Pt 2.794 0.000 1.394
```



(ii)
Entry from Alexandria: Cu2AgPt after structural relaxation (PBEsol).

Structure (extended XYZ):
```
8
Lattice="3.996 0.000 0.000 0.000 3.996 0.000 0.000 0.000 6.777" Properties=species:S:1:pos:R:3 pbc="T T T"
Cu 0.000 1.998 1.694
Cu 0.000 1.998 5.083
Cu 1.998 0.000 1.694
Cu 1.998 0.000 5.083
Ag 0.000 0.000 0.000
Ag 1.998 1.998 3.389
Pt 0.000 0.000 3.389
Pt 1.998 1.998 0.000
```



(iii)
Entry from Alexandria: Cu2AgPt after structural relaxation (PBEsol).

Structure (extended XYZ):
```
4
Lattice="2.777 0.000 0.000 0.000 2.777 0.000 0.000 0.000 7.043" Properties=species:S:1:pos:R:3 pbc="T T T"
Cu 0.000 0.000 1.706
Cu 0.000 0.000 5.337
Ag 1.389 1.389 3.521
Pt 1.389 1.389 0.000
```



(iv)
Entry from Alexandria: Cu2AgPt after structural relaxation (PBEsol).

Structure (extended XYZ):
```
16
Lattice="5.998 0.000 0.000 0.000 5.998 0.000 0.000 0.000 5.998" Properties=species:S:1:pos:R:3 pbc="T T T"
Cu 1.499 1.499 1.499
Cu 1.499 1.499 4.498
Cu 1.499 4.498 1.499
Cu 1.499 4.498 4.498
Cu 4.498 1.499 1.499
Cu 4.498 1.499 4.498
Cu 4.498 4.498 1.499
Cu 4.498 4.498 4.498
Ag 0.000 0.000 0.000
Ag 0.000 2.999 2.999
Ag 2.999 0.000 2.999
Ag 2.999 2.999 0.000
Pt 0.000 0.000 2.999
Pt 0.000 2.999 0.000
Pt 2.999 0.000 0.000
Pt 2.999 2.999 2.999
```



The data favor (i); the next most stable structure lies 0.020 eV/atom above it.



(i)
Entry from Alexandria: CuAgPt after structural relaxation (PBEsol).

Structure (extended XYZ):
```
12
Lattice="2.760 0.000 0.000 0.000 4.627 0.000 0.000 0.000 13.644" Properties=species:S:1:pos:R:3 pbc="T T T"
Cu 0.000 0.000 0.000
Cu 0.000 2.314 6.822
Cu 1.380 0.000 6.822
Cu 1.380 2.314 0.000
Ag 0.000 0.000 4.612
Ag 0.000 2.314 11.433
Ag 1.380 0.000 11.433
Ag 1.380 2.314 4.612
Pt 0.000 0.000 8.979
Pt 0.000 2.314 2.157
Pt 1.380 0.000 2.157
Pt 1.380 2.314 8.979
```



(ii)
Entry from Alexandria: CuAgPt after structural relaxation (PBEsol).

Structure (extended XYZ):
```
3
Lattice="2.733 0.000 0.000 -1.366 2.367 0.000 0.000 0.000 6.656" Properties=species:S:1:pos:R:3 pbc="T T T"
Cu 0.000 0.000 0.000
Ag 1.366 0.789 2.160
Pt 0.000 1.578 4.560
```



The data favor (ii); the next most stable structure lies 0.057 eV/atom above it.



(i)
Entry from Alexandria: CuReAg2 after structural relaxation (PBEsol).

Structure (extended XYZ):
```
4
Lattice="2.673 0.000 0.000 0.000 2.673 0.000 0.000 0.000 8.206" Properties=species:S:1:pos:R:3 pbc="T T T"
Cu 0.000 0.000 0.000
Re 1.336 1.336 1.837
Ag 0.000 0.000 4.017
Ag 1.336 1.336 6.239
```



(ii)
Entry from Alexandria: CuReAg2 after structural relaxation (PBEsol).

Structure (extended XYZ):
```
12
Lattice="2.731 0.000 0.000 -1.365 2.365 0.000 0.000 0.000 27.415" Properties=species:S:1:pos:R:3 pbc="T T T"
Cu 0.000 0.000 0.000
Cu 0.000 1.577 18.277
Cu 1.365 0.788 9.138
Re 0.000 0.000 20.369
Re 0.000 1.577 11.231
Re 1.365 0.788 2.092
Ag 0.000 0.000 6.934
Ag 0.000 0.000 13.632
Ag 0.000 1.577 4.494
Ag 0.000 1.577 25.211
Ag 1.365 0.788 16.073
Ag 1.365 0.788 22.770
```



The data favor (ii); the next most stable structure lies 0.037 eV/atom above it.



(i)
Entry from Alexandria: CuAgRu2 after structural relaxation (PBEsol).

Structure (extended XYZ):
```
8
Lattice="2.831 0.000 0.000 0.000 4.477 0.000 0.000 0.000 8.688" Properties=species:S:1:pos:R:3 pbc="T T T"
Cu 0.000 0.000 0.000
Cu 1.415 2.239 4.344
Ag 0.000 2.239 6.467
Ag 1.415 0.000 2.123
Ru 0.000 0.000 4.471
Ru 0.000 2.239 2.211
Ru 1.415 0.000 6.555
Ru 1.415 2.239 0.127
```



(ii)
Entry from Alexandria: CuAgRu2 after structural relaxation (PBEsol).

Structure (extended XYZ):
```
16
Lattice="6.030 0.000 0.000 0.000 6.030 0.000 0.000 0.000 6.030" Properties=species:S:1:pos:R:3 pbc="T T T"
Cu 0.000 0.000 0.000
Cu 0.000 3.015 3.015
Cu 3.015 0.000 3.015
Cu 3.015 3.015 0.000
Ag 0.000 0.000 3.015
Ag 0.000 3.015 0.000
Ag 3.015 0.000 0.000
Ag 3.015 3.015 3.015
Ru 1.507 1.507 1.507
Ru 1.507 1.507 4.522
Ru 1.507 4.522 1.507
Ru 1.507 4.522 4.522
Ru 4.522 1.507 1.507
Ru 4.522 1.507 4.522
Ru 4.522 4.522 1.507
Ru 4.522 4.522 4.522
```



(iii)
Entry from Alexandria: CuAgRu2 after structural relaxation (PBEsol).

Structure (extended XYZ):
```
4
Lattice="2.756 0.000 0.000 0.000 4.375 0.000 0.000 0.000 4.614" Properties=species:S:1:pos:R:3 pbc="T T T"
Cu 0.000 0.000 0.000
Ag 1.378 2.187 0.000
Ru 0.000 2.187 2.307
Ru 1.378 0.000 2.307
```



The data favor (i); the next most stable structure lies 0.027 eV/atom above it.



(i)
Entry from Alexandria: CuAg2Ru after structural relaxation (PBEsol).

Structure (extended XYZ):
```
8
Lattice="2.830 0.000 0.000 0.000 4.505 0.000 0.000 0.000 9.186" Properties=species:S:1:pos:R:3 pbc="T T T"
Cu 0.000 0.000 0.000
Cu 1.415 2.252 0.000
Ag 0.000 0.000 4.503
Ag 0.000 2.252 6.962
Ag 1.415 0.000 6.962
Ag 1.415 2.252 4.503
Ru 0.000 2.252 2.093
Ru 1.415 0.000 2.093
```



(ii)
Entry from Alexandria: CuAg2Ru after structural relaxation (PBEsol).

Structure (extended XYZ):
```
12
Lattice="2.719 0.000 0.000 -1.360 2.355 0.000 0.000 0.000 27.134" Properties=species:S:1:pos:R:3 pbc="T T T"
Cu 0.000 0.000 0.000
Cu 0.000 1.570 18.089
Cu 1.360 0.785 9.045
Ag 0.000 0.000 6.841
Ag 0.000 0.000 13.440
Ag 0.000 1.570 4.396
Ag 0.000 1.570 24.931
Ag 1.360 0.785 15.886
Ag 1.360 0.785 22.485
Ru 0.000 0.000 20.127
Ru 0.000 1.570 11.083
Ru 1.360 0.785 2.038
```



The data favor (ii); the next most stable structure lies 0.069 eV/atom above it.



(i)
Entry from Alexandria: Cu2AgRu after structural relaxation (PBEsol).

Structure (extended XYZ):
```
16
Lattice="6.003 0.000 0.000 0.000 6.003 0.000 0.000 0.000 6.003" Properties=species:S:1:pos:R:3 pbc="T T T"
Cu 0.000 0.000 0.000
Cu 0.000 3.002 3.002
Cu 1.501 1.501 1.501
Cu 1.501 4.502 4.502
Cu 3.002 0.000 3.002
Cu 3.002 3.002 0.000
Cu 4.502 1.501 4.502
Cu 4.502 4.502 1.501
Ag 0.000 0.000 3.002
Ag 0.000 3.002 0.000
Ag 3.002 0.000 0.000
Ag 3.002 3.002 3.002
Ru 1.501 1.501 4.502
Ru 1.501 4.502 1.501
Ru 4.502 1.501 1.501
Ru 4.502 4.502 4.502
```



(ii)
Entry from Alexandria: Cu2AgRu after structural relaxation (PBEsol).

Structure (extended XYZ):
```
8
Lattice="3.737 0.000 0.000 0.000 3.737 0.000 0.000 0.000 7.620" Properties=species:S:1:pos:R:3 pbc="T T T"
Cu 0.000 0.000 0.000
Cu 0.000 1.869 1.905
Cu 1.869 0.000 5.715
Cu 1.869 1.869 3.810
Ag 0.000 1.869 5.715
Ag 1.869 0.000 1.905
Ru 0.000 0.000 3.810
Ru 1.869 1.869 0.000
```



The data favor (ii); the next most stable structure lies 0.068 eV/atom above it.